No. 1
# RbEuO2 PBE optimized geometry
data_RbEuO2
_space_group_name_H-M_alt 'P 4/m m m'
_space_group_IT_number 123
_space_group_name_Hall '-P 4 2'
_cell_length_a 3.148
_cell_length_b 3.148
_cell_length_c 6.706
_cell_angle_alpha 90.00
_cell_angle_beta 90.00
_cell_angle_gamma 90.00
loop_
_atom_site_label
_atom_site_fract_x
_atom_site_fract_y
_atom_site_fract_z
_atom_site_occupancy
Rb1 0.000 0.000 0.000 1
Eu1 0.000 0.000 0.500 1
O1 0.500 0.500 0.308 1
# DOS(E_F): 0.8162 states/eV/atom
# Total energy: -7.104 eV/atom
# Size of the total moment: 6.0 μB per formula unit
# ΔE_f (raw): -7.26 eV/f.u.

No. 2
# BeZnBr2 PBE optimized geometry
data_BeZnBr2
_space_group_name_H-M_alt 'C 1 2/m 1'
_space_group_IT_number 12
_cell_length_a 7.470
_cell_length_b 7.548
_cell_length_c 4.097
_cell_angle_alpha 90.00
_cell_angle_beta 116.10
_cell_angle_gamma 90.00
loop_
_space_group_symop_operation_xyz
'x,y,z'
'-x,-y,-z'
'-x,y,-z'
'x,-y,z'
'x+1/2,y+1/2,z'
'-x+1/2,-y+1/2,-z'
'-x+1/2,y+1/2,-z'
'x+1/2,-y+1/2,z'
loop_
_atom_site_label
_atom_site_fract_x
_atom_site_fract_y
_atom_site_fract_z
_atom_site_occupancy
Be1 0.000 0.000 0.000 1
Zn1 0.000 0.500 0.000 1
Br1 0.250 0.250 0.000 1
# DOS(E_F): 0.4834 states/eV/atom
# Total energy: -1.818 eV/atom
# Energy above the most stable polymorph in this dataset: 626 meV per atom
# Size of the total moment: 0.0 μB per formula unit
# ΔE_f (raw): 1.08 eV/f.u.